(1)
Computed, not measured: crystalline UNiGe at its relaxed geometry at the PBE-GGA level of DFT.

Cell: 4.3404 4.3404 4.3404 Å, 60.00 60.00 60.00°
Last column: nearest neighbours and their distance in Å.
Fractional positions:
Ni: 0.2500 0.2500 0.2500  4 Ge 2.66, 4 U 2.66
Ge: 0.0000 0.0000 0.0000  4 Ni 2.66
U: 0.5000 0.5000 0.5000  4 Ni 2.66

Results
- Total moment: 1.991 μB/f.u.
- DOS at the Fermi energy: 6.5 states/eV per cell
- Formation energy: -0.27 eV per atom
- Total DFT energy (no corrections): -7.502 eV per atom
- Space group: No. 216

***

(2)
Computed, not measured: crystalline UNiGe2 at its relaxed geometry at the PBE-GGA level of DFT.

Cell: 4.1116 4.1249 4.1249 Å, 90.00 90.00 90.00°
Last column: nearest neighbours and their distance in Å.
Fractional positions:
Ni: 0.5000 0.5000 0.5000  8 Ge 2.91, 4 U 2.92
Ge: 0.0000 0.0000 0.5000  4 U 2.91, 4 Ni 2.91, 4 Ge 2.92
Ge: 0.0000 0.5000 0.0000  4 Ni 2.91, 4 U 2.91, 4 Ge 2.92
U: 0.5000 0.0000 0.0000  8 Ge 2.91, 4 Ni 2.92

Results
- Total moment: 1.430 μB/f.u.
- DOS at the Fermi energy: 5.4 states/eV per cell
- Formation energy: -0.16 eV per atom
- Total DFT energy (no corrections): -6.738 eV per atom
- Space group: No. 123